The following is a PBE-GGA calculation of crystalline Ce2ThGaC at its relaxed geometry, from Alexandria.

a = 6.9447 Å, b = 6.9447 Å, c = 7.0236 Å
α = 119.63°, β = 119.63°, γ = 90.00°
Closest atoms and distances in Å follow each position.
Positions (direct):
Ce (0.2503, 0.7503, 0.0000)  2 C 2.46
Ce (0.7503, 0.7498, 0.0000)  2 C 2.46
Ce (0.7498, 0.2498, 0.0000)  2 C 2.46
Ce (0.2498, 0.2503, 0.0000)  2 C 2.46
Th (0.7500, 0.7500, 0.5000)  2 C 2.51
Th (0.2500, 0.2500, 0.5000)  2 C 2.51
Ga (0.7502, 0.2502, 0.5003)  4 Th 3.47, 8 Ce 3.51
Ga (0.2502, 0.7502, 0.5003)  4 Th 3.47, 8 Ce 3.51
C (0.0000, 0.0000, 0.0000)  4 Ce 2.46, 2 Th 2.51
C (0.5000, 0.5000, 0.0000)  4 Ce 2.46, 2 Th 2.51

---

The following is a PBE-GGA calculation of crystalline CeTm2GaC at its relaxed geometry, from Alexandria.

a = 4.8338 Å, b = 4.8101 Å, c = 4.8101 Å
α = 90.00°, β = 90.00°, γ = 90.00°
Closest atoms and distances in Å follow each position.
Positions (direct):
Ce (0.5000, 0.0000, 0.0000)  2 C 2.42
Tm (0.0000, 0.0000, 0.5000)  2 C 2.41
Tm (0.0000, 0.5000, 0.0000)  2 C 2.41
Ga (0.5000, 0.5000, 0.5000)  4 Ce 3.40, 8 Tm 3.41
C (0.0000, 0.0000, 0.0000)  4 Tm 2.41, 2 Ce 2.42

---

The following is a PBE-GGA calculation of crystalline Ce2TmGaC at its relaxed geometry, from Alexandria.

a = 4.8900 Å, b = 4.8900 Å, c = 4.8247 Å
α = 90.00°, β = 90.00°, γ = 90.00°
Closest atoms and distances in Å follow each position.
Positions (direct):
Ce (0.0000, 0.5000, 0.0000)  2 C 2.44-2.45
Ce (0.5000, 0.0000, 0.0000)  2 C 2.44
Tm (0.0000, 0.0000, 0.5000)  2 C 2.41
Ga (0.5000, 0.5000, 0.5001)  8 Ce 3.43-3.44, 4 Tm 3.46
C (0.0000, 0.0000, 0.0000)  2 Tm 2.41, 4 Ce 2.44-2.45

---

The following is a PBE-GGA calculation of crystalline CeY2GaC at its relaxed geometry, from Alexandria.

a = 4.8446 Å, b = 4.9007 Å, c = 4.9007 Å
α = 90.00°, β = 90.00°, γ = 90.00°
Closest atoms and distances in Å follow each position.
Positions (direct):
Ce (0.5000, 0.0000, 0.0000)  2 C 2.42
Y (0.0000, 0.0000, 0.5000)  2 C 2.45
Y (0.0000, 0.5000, 0.0000)  2 C 2.45
Ga (0.5000, 0.5000, 0.5000)  8 Y 3.45, 4 Ce 3.47
C (0.0000, 0.0000, 0.0000)  2 Ce 2.42, 4 Y 2.45

---

The following is a PBE-GGA calculation of crystalline Ce2YGaC at its relaxed geometry, from Alexandria.

a = 4.8882 Å, b = 4.8881 Å, c = 4.9194 Å
α = 90.00°, β = 90.00°, γ = 90.00°
Closest atoms and distances in Å follow each position.
Positions (direct):
Ce (0.0000, 0.5000, 0.0000)  2 C 2.44
Ce (0.5000, 0.0000, 0.0000)  2 C 2.44
Y (0.0000, 0.0000, 0.5000)  2 C 2.46
Ga (0.5000, 0.5000, 0.5000)  4 Y 3.46, 8 Ce 3.47
C (0.0000, 0.0000, 0.9999)  4 Ce 2.44, 2 Y 2.46

---

The following is a PBE-GGA calculation of crystalline Ce3GdC at its relaxed geometry, from Alexandria.

a = 5.0277 Å, b = 5.0277 Å, c = 5.0277 Å
α = 90.00°, β = 90.00°, γ = 90.00°
Closest atoms and distances in Å follow each position.
Positions (direct):
C (0.0000, 0.0000, 0.0000)  6 Ce 2.51
Gd (0.5000, 0.5000, 0.5000)  12 Ce 3.56
Ce (0.0000, 0.5000, 0.0000)  2 C 2.51
Ce (0.0000, 0.0000, 0.5000)  2 C 2.51
Ce (0.5000, 0.0000, 0.0000)  2 C 2.51

---

The following is a PBE-GGA calculation of crystalline CeGdC2 at its relaxed geometry, from Alexandria.

a = 3.6542 Å, b = 3.6542 Å, c = 6.2967 Å
α = 73.13°, β = 73.13°, γ = 60.00°
Closest atoms and distances in Å follow each position.
Positions (direct):
C (0.2538, 0.2538, 0.2385)  3 Ce 2.54, 3 Gd 2.62
C (0.7462, 0.7462, 0.7615)  3 Ce 2.54, 3 Gd 2.62
Gd (0.5000, 0.5000, 0.5000)  6 C 2.62
Ce (0.0000, 0.0000, 0.0000)  6 C 2.54

---

The following is a PBE-GGA calculation of crystalline Ce5Ge3C at its relaxed geometry, from Alexandria.

a = 8.8247 Å, b = 8.8247 Å, c = 6.2871 Å
α = 90.00°, β = 90.00°, γ = 120.00°
Closest atoms and distances in Å follow each position.
Positions (direct):
Ce (0.6667, 0.3333, 0.0000)  6 Ge 3.13, 2 Ce 3.14
Ce (0.3333, 0.6667, 0.0000)  6 Ge 3.13, 2 Ce 3.14
Ce (0.3333, 0.6667, 0.5000)  6 Ge 3.13, 2 Ce 3.14
Ce (0.6667, 0.3333, 0.5000)  6 Ge 3.13, 2 Ce 3.14
Ce (0.7735, 0.7735, 0.7500)  2 C 2.54
Ce (0.2265, 0.0000, 0.7500)  2 C 2.54
Ce (0.0000, 0.2265, 0.7500)  2 C 2.54
Ce (0.2265, 0.2265, 0.2500)  2 C 2.54
Ce (0.7735, 0.0000, 0.2500)  2 C 2.54
Ce (0.0000, 0.7735, 0.2500)  2 C 2.54
Ge (0.3969, 0.3969, 0.7500)  7 Ce 3.04-3.32
Ge (0.6031, 0.0000, 0.7500)  7 Ce 3.04-3.32
Ge (0.0000, 0.6031, 0.7500)  7 Ce 3.04-3.32
Ge (0.6031, 0.6031, 0.2500)  7 Ce 3.04-3.32
Ge (0.3969, 0.0000, 0.2500)  7 Ce 3.04-3.32
Ge (0.0000, 0.3969, 0.2500)  7 Ce 3.04-3.32
C (0.0000, 0.0000, 0.0000)  6 Ce 2.54
C (0.0000, 0.0000, 0.5000)  6 Ce 2.54

---

Number 1: DFT total energy -6.598 eV/atom, M_tot 1.09 μB per formula unit. Number 2: DFT total energy -5.831 eV/atom, M_tot 0.33 μB per formula unit. Number 3: DFT total energy -6.050 eV/atom, M_tot 0.87 μB per formula unit. Number 4: DFT total energy -6.617 eV/atom, M_tot 0.34 μB per formula unit. Number 5: DFT total energy -6.445 eV/atom, M_tot 0.90 μB per formula unit. Number 6: DFT total energy -8.217 eV/atom, M_tot 7.25 μB per formula unit. Number 7: DFT total energy -9.596 eV/atom, M_tot 7.28 μB per formula unit. Number 8: DFT total energy -6.470 eV/atom, M_tot 3.31 μB per formula unit.